1.
! BaMg2Mo (meta-GGA SCAN, PBEsol geometry); values from VASP
! - energy relative to the elements (eV per atom) = 0.611
! - M_tot (μB per atom) = 0.648
! - crystal system = tetragonal
! - offset from the most stable computed form (kcal/mol of atoms) = 0.000
&SYSTEM
  ibrav = 0, nat = 4, ntyp = 3
/
ATOMIC_SPECIES
Ba 137.33 Ba.upf
Mg 24.30 Mg.upf
Mo 95.94 Mo.upf
CELL_PARAMETERS angstrom
3.564 0.000 0.000
0.000 3.564 0.000
0.000 0.000 8.167
ATOMIC_POSITIONS crystal
Ba 0.000 0.000 0.000
Mg 0.000 0.000 0.568
Mg 0.500 0.500 0.356
Mo 0.500 0.500 0.720

***

2.
! RbYPt3 (meta-GGA SCAN, PBEsol geometry); values from VASP
! - energy relative to the elements (eV per atom) = 0.415
! - M_tot (μB per atom) = 0.000
! - crystal system = cubic
&SYSTEM
  ibrav = 0, nat = 5, ntyp = 3
/
ATOMIC_SPECIES
Rb 85.47 Rb.upf
Y 88.91 Y.upf
Pt 195.08 Pt.upf
CELL_PARAMETERS angstrom
5.191 0.000 0.000
0.000 5.191 0.000
0.000 0.000 5.191
ATOMIC_POSITIONS crystal
Rb 0.000 0.000 0.000
Y 0.500 0.500 0.500
Pt 0.000 0.500 0.500
Pt 0.500 0.000 0.500
Pt 0.500 0.500 0.000

***

3.
! MgIn2P (meta-GGA SCAN, PBEsol geometry); values from VASP
! - energy relative to the elements (eV per atom) = -0.168
! - M_tot (μB per atom) = 0.000
! - crystal system = monoclinic
! - offset from the most stable computed form (kcal/mol of atoms) = 0.033
&SYSTEM
  ibrav = 0, nat = 4, ntyp = 3
/
ATOMIC_SPECIES
Mg 24.30 Mg.upf
In 114.82 In.upf
P 30.97 P.upf
CELL_PARAMETERS angstrom
4.488 -1.855 0.000
4.488 1.855 0.000
-2.103 0.000 5.382
ATOMIC_POSITIONS crystal
Mg 0.000 0.000 0.000
In 0.162 0.162 0.604
In 0.382 0.382 0.355
P 0.703 0.703 0.969

***

4.
! Zr2TeCl (meta-GGA SCAN, PBEsol geometry); values from VASP
! - M_tot (μB per atom) = 0.000
! - energy relative to the elements, uncorrected (eV per atom) = -0.66
! - crystal system = trigonal
! - offset from the most stable computed form (kcal/mol of atoms) = 4.725
&SYSTEM
  ibrav = 0, nat = 4, ntyp = 3
/
ATOMIC_SPECIES
Zr 91.22 Zr.upf
Te 127.60 Te.upf
Cl 35.45 Cl.upf
CELL_PARAMETERS angstrom
1.689 0.975 8.338
-1.689 0.975 8.338
0.000 -1.950 8.338
ATOMIC_POSITIONS crystal
Zr 0.247 0.247 0.247
Zr 0.753 0.753 0.753
Te 0.000 0.000 0.000
Cl 0.500 0.500 0.500

***

5.
! BeCS3 (meta-GGA SCAN, PBEsol geometry); values from VASP
! - M_tot (μB per atom) = 0.000
! - energy relative to the elements, uncorrected (eV per atom) = 1.44
! - crystal system = cubic
&SYSTEM
  ibrav = 0, nat = 5, ntyp = 3
/
ATOMIC_SPECIES
Be 9.01 Be.upf
C 12.01 C.upf
S 32.06 S.upf
CELL_PARAMETERS angstrom
4.006 0.000 0.000
0.000 4.006 0.000
0.000 0.000 4.006
ATOMIC_POSITIONS crystal
Be 0.000 0.000 0.000
C 0.500 0.500 0.500
S 0.000 0.500 0.500
S 0.500 0.000 0.500
S 0.500 0.500 0.000

***

6.
! NbCr2 (meta-GGA SCAN, PBEsol geometry); values from VASP
! - energy relative to the elements (eV per atom) = 0.000
! - M_tot (μB per atom) = 0.001
! - crystal system = cubic
&SYSTEM
  ibrav = 0, nat = 6, ntyp = 2
/
ATOMIC_SPECIES
Nb 92.91 Nb.upf
Cr 52.00 Cr.upf
CELL_PARAMETERS angstrom
0.000 3.436 3.436
3.436 0.000 3.436
3.436 3.436 0.000
ATOMIC_POSITIONS crystal
Nb 0.125 0.125 0.125
Nb 0.875 0.875 0.875
Cr 0.000 0.500 0.500
Cr 0.500 0.000 0.500
Cr 0.500 0.500 0.000
Cr 0.500 0.500 0.500